Run 1
HfTiS3 | the Alexandria database | PBE-GGA | optimized geometry; DOS at the Fermi energy = 14.36 states/eV/f.u.; SG = Pm-3m, No. 221; total magnetization = 0.28 μB per formula unit; density = 4.632 g/cm3
1.0
4.8720 0.0000 0.0000
0.0000 4.8720 0.0000
0.0000 0.0000 4.8720
Hf Ti S
1 1 3
direct
0.0000 0.0000 0.0000 Hf
0.5000 0.5000 0.5000 Ti
0.0000 0.0000 0.5000 S
0.0000 0.5000 0.0000 S
0.5000 0.0000 0.0000 S

***

Run 2
HfTiS3 | the Alexandria database | PBE-GGA | optimized geometry; DOS at the Fermi energy = 5.04 states/eV/f.u.; SG = Pm-3m, No. 221; total magnetization = 0.82 μB per formula unit; density = 5.519 g/cm3
1.0
4.5955 0.0000 0.0000
0.0000 4.5955 0.0000
0.0000 0.0000 4.5955
Hf Ti S
1 1 3
direct
0.0000 0.0000 0.0000 Hf
0.5000 0.5000 0.5000 Ti
0.0000 0.5000 0.5000 S
0.5000 0.0000 0.5000 S
0.5000 0.5000 0.0000 S

***

Run 3
HfTiS3 | the Alexandria database | PBE-GGA | optimized geometry; DOS at the Fermi energy = 1.12 states/eV/f.u.; SG = Cmc2_1, No. 36; total magnetization = 0.00 μB per formula unit; density = 5.023 g/cm3
1.0
1.8069 -9.4229 0.0000
1.8069 9.4229 0.0000
0.0000 0.0000 6.2623
Hf Ti S
2 2 6
direct
0.1655 0.8345 0.5000 Hf
0.8345 0.1655 0.0000 Hf
0.3264 0.6736 0.4894 Ti
0.6736 0.3264 0.9894 Ti
0.0999 0.9001 0.8417 S
0.2494 0.7506 0.1619 S
0.4028 0.5972 0.8160 S
0.5972 0.4028 0.3160 S
0.7506 0.2494 0.6619 S
0.9001 0.0999 0.3417 S

***

Stability, lowest: run 1

***

Run 1
HfTl2S | the Alexandria database | PBE-GGA | optimized geometry; DOS at the Fermi energy = 4.94 states/eV/f.u.; SG = Fm-3m, No. 225; total magnetization = 0.00 μB per formula unit; density = 10.557 g/cm3
1.0
0.0000 3.6521 3.6521
3.6521 0.0000 3.6521
3.6521 3.6521 0.0000
Hf Tl S
1 2 1
direct
0.0000 0.0000 0.0000 Hf
0.2500 0.2500 0.2500 Tl
0.7500 0.7500 0.7500 Tl
0.5000 0.5000 0.5000 S

***

Run 2
HfTl2S | the Alexandria database | PBE-GGA | optimized geometry; DOS at the Fermi energy = 3.69 states/eV/f.u.; SG = I-42d, No. 122; total magnetization = 0.00 μB per formula unit; density = 10.552 g/cm3
1.0
-4.0968 4.0968 2.9035
4.0968 -4.0968 2.9035
4.0968 4.0968 -2.9035
Hf Tl S
2 4 2
direct
0.0000 0.0000 0.0000 Hf
0.7500 0.2500 0.5000 Hf
0.1307 0.6250 0.0057 Tl
0.3750 0.3807 0.5057 Tl
0.6193 0.1250 0.9943 Tl
0.8750 0.8693 0.4943 Tl
0.2500 0.7500 0.5000 S
0.5000 0.5000 0.0000 S

***

Stability, lowest: run 1

***

Run 1
HfTl2S2 | the Alexandria database | PBE-GGA | optimized geometry; DOS at the Fermi energy = 2.31 states/eV/f.u.; SG = I4/mmm, No. 139; total magnetization = 0.40 μB per formula unit; density = 8.870 g/cm3
1.0
-1.9136 1.9136 8.3255
1.9136 -1.9136 8.3255
1.9136 1.9136 -8.3255
Hf Tl S
1 2 2
direct
0.0000 0.0000 0.0000 Hf
0.2500 0.7500 0.5000 Tl
0.7500 0.2500 0.5000 Tl
0.4162 0.4162 0.0000 S
0.5838 0.5838 0.0000 S

***

Run 2
HfTl2S2 | the Alexandria database | PBE-GGA | optimized geometry; DOS at the Fermi energy = 0.89 states/eV/f.u.; SG = P4/mbm, No. 127; total magnetization = 0.00 μB per formula unit; density = 8.459 g/cm3
1.0
6.7962 0.0000 0.0000
0.0000 6.7962 0.0000
0.0000 0.0000 5.5368
Hf Tl S
2 4 4
direct
0.0000 0.0000 0.0000 Hf
0.5000 0.5000 0.0000 Hf
0.1702 0.3298 0.5000 Tl
0.3298 0.8298 0.5000 Tl
0.6702 0.1702 0.5000 Tl
0.8298 0.6702 0.5000 Tl
0.1776 0.6776 0.0000 S
0.3224 0.1776 0.0000 S
0.6776 0.8224 0.0000 S
0.8224 0.3224 0.0000 S

***

Stability, lowest: run 1

***

Run 1
HfU2S5 | the Alexandria database | PBE-GGA | optimized geometry; DOS at the Fermi energy = 12.39 states/eV/f.u.; SG = Cmcm, No. 63; total magnetization = 5.37 μB per formula unit; density = 6.631 g/cm3
1.0
2.6547 -6.1705 0.0000
2.6547 6.1705 0.0000
0.0000 0.0000 12.4574
Hf U S
2 4 10
direct
0.2105 0.7895 0.7500 Hf
0.7895 0.2105 0.2500 Hf
0.1547 0.8453 0.0621 U
0.1547 0.8453 0.4379 U
0.8453 0.1547 0.5621 U
0.8453 0.1547 0.9379 U
0.0507 0.9493 0.6242 S
0.0507 0.9493 0.8758 S
0.2715 0.7285 0.2500 S
0.3321 0.6679 0.5792 S
0.3321 0.6679 0.9208 S
0.6679 0.3321 0.0792 S
0.6679 0.3321 0.4208 S
0.7285 0.2715 0.7500 S
0.9493 0.0507 0.1242 S
0.9493 0.0507 0.3758 S

***

Run 2
HfU2S5 | the Alexandria database | PBE-GGA | optimized geometry; DOS at the Fermi energy = 12.42 states/eV/f.u.; SG = Pnma, No. 62; total magnetization = 5.74 μB per formula unit; density = 8.500 g/cm3
1.0
11.3699 0.0000 0.0000
0.0000 7.7400 0.0000
0.0000 0.0000 7.2357
Hf U S
4 8 20
direct
0.0049 0.2500 0.0777 Hf
0.4951 0.7500 0.5777 Hf
0.5049 0.2500 0.4223 Hf
0.9951 0.7500 0.9223 Hf
0.1783 0.9997 0.5355 U
0.1783 0.5003 0.5355 U
0.3217 0.0003 0.0355 U
0.3217 0.4997 0.0355 U
0.6783 0.9997 0.9645 U
0.6783 0.5003 0.9645 U
0.8217 0.0003 0.4645 U
0.8217 0.4997 0.4645 U
0.0022 0.2500 0.4511 S
0.0881 0.5393 0.1691 S
0.0881 0.9607 0.1691 S
0.1844 0.2500 0.8405 S
0.2111 0.7500 0.8169 S
0.2889 0.2500 0.3169 S
0.3156 0.7500 0.3405 S
0.4119 0.0393 0.6691 S
0.4119 0.4607 0.6691 S
0.4978 0.7500 0.9511 S
0.5022 0.2500 0.0489 S
0.5881 0.5393 0.3309 S
0.5881 0.9607 0.3309 S
0.6844 0.2500 0.6595 S
0.7111 0.7500 0.6831 S
0.7889 0.2500 0.1831 S
0.8156 0.7500 0.1595 S
0.9119 0.0393 0.8309 S
0.9119 0.4607 0.8309 S
0.9978 0.7500 0.5489 S

***

Stability, lowest: run 1

***

Run 1
Hf2US6 | the Alexandria database | PBE-GGA | optimized geometry; DOS at the Fermi energy = 8.14 states/eV/f.u.; SG = C2/m, No. 12; total magnetization = 2.00 μB per formula unit; density = 5.999 g/cm3
1.0
6.4742 -2.3684 0.0000
6.4742 2.3684 0.0000
-5.0635 0.0000 7.1069
Hf U S
2 1 6
direct
0.1768 0.1768 0.1101 Hf
0.8232 0.8232 0.8899 Hf
0.0000 0.0000 0.5000 U
0.0342 0.0342 0.2105 S
0.2532 0.2532 0.8785 S
0.3647 0.3647 0.4424 S
0.6353 0.6353 0.5576 S
0.7468 0.7468 0.1215 S
0.9658 0.9658 0.7895 S

***

Run 2
Hf2US6 | the Alexandria database | PBE-GGA | optimized geometry; DOS at the Fermi energy = 4.86 states/eV/f.u.; SG = C2/m, No. 12; total magnetization = 2.01 μB per formula unit; density = 5.237 g/cm3
1.0
8.6775 -1.8728 0.0000
8.6775 1.8728 0.0000
-2.6040 0.0000 7.6809
Hf U S
2 1 6
direct
0.1703 0.1703 0.3429 Hf
0.8297 0.8297 0.6571 Hf
0.5000 0.5000 0.0000 U
0.0148 0.0148 0.2425 S
0.3245 0.3245 0.4367 S
0.3367 0.3367 0.8791 S
0.6633 0.6633 0.1209 S
0.6755 0.6755 0.5633 S
0.9852 0.9852 0.7575 S

***

Stability, lowest: run 1

***

Run 1
HfU2S6 | the Alexandria database | PBE-GGA | optimized geometry; DOS at the Fermi energy = 10.67 states/eV/f.u.; SG = C2/m, No. 12; total magnetization = 3.13 μB per formula unit; density = 7.200 g/cm3
1.0
6.0724 -2.6444 0.0000
6.0724 2.6444 0.0000
-5.8331 0.0000 6.0818
Hf U S
1 2 6
direct
0.0000 0.0000 0.0000 Hf
0.2282 0.2282 0.7967 U
0.7718 0.7718 0.2033 U
0.0557 0.0557 0.3683 S
0.2748 0.2748 0.1818 S
0.4458 0.4458 0.7984 S
0.5542 0.5542 0.2016 S
0.7252 0.7252 0.8182 S
0.9443 0.9443 0.6317 S

***

Run 2
HfU2S6 | the Alexandria database | PBE-GGA | optimized geometry; DOS at the Fermi energy = 9.87 states/eV/f.u.; SG = C2/m, No. 12; total magnetization = 4.00 μB per formula unit; density = 5.425 g/cm3
1.0
7.1869 -1.9383 0.0000
7.1869 1.9383 0.0000
-3.2806 0.0000 9.3056
Hf U S
1 2 6
direct
0.0000 0.0000 0.0000 Hf
0.3365 0.3365 0.6737 U
0.6636 0.6636 0.3263 U
0.0268 0.0268 0.2678 S
0.2994 0.2994 0.3877 S
0.3735 0.3735 0.9581 S
0.6265 0.6265 0.0419 S
0.7006 0.7006 0.6123 S
0.9732 0.9732 0.7322 S

***

Stability, lowest: run 1